The following is a PBE with a Hubbard U calculation of ZrCoNF2 after structural relaxation, from Alexandria.

a b c (Å): 3.760 3.760 4.068
angles (deg): 90.00 90.00 90.00
Space group P4/mmm (No. 123)
Asymmetric unit:
Zr 0.000 0.000 0.000 (multiplicity 1)
Co 0.500 0.500 0.500 (multiplicity 1)
N 0.500 0.500 0.000 (multiplicity 1)
F 0.000 0.500 0.500 (multiplicity 2)

Calculated values
ΔE to the lowest computed polymorph = 475 meV/atom
Magnetization = 1.13 μB/cell
Raw total energy = -5.9985 eV per atom
Theoretical density = 5.838 Mg/m³